Below is a geometry-optimized RbNaTmF6 structure, with properties calculated at the PBE-GGA level.

a b c (Å): 7.0765 8.2404 11.8471
angles (deg): 90.00 90.00 90.00
Space group Imma (No. 74)
Inequivalent atoms, fractional coordinates:
1 Rb 0.0000 0.2500 0.1172 (multiplicity 4)
2 Na 0.2500 0.2500 0.7500 (multiplicity 4)
3 Tm 0.0000 0.0000 0.5000 (multiplicity 4)
4 F 0.0000 0.2500 0.4495 (multiplicity 4)
5 F 0.0000 0.2500 0.8788 (multiplicity 4)
6 F 0.2133 0.0367 0.6245 (multiplicity 16)

Summary:
- Magnetic moment: 4.01 μB per cell
- Raw formation energy: -3.00 eV/atom